# PBE-GGA Dy3SnP2Rh9, relaxed
data_Dy3SnP2Rh9
_chemical_formula_sum 'Dy3 Sn1 P2 Rh9'
_cell_length_a 6.0605
_cell_length_b 6.0605
_cell_length_c 9.2815
_cell_angle_alpha 90.00
_cell_angle_beta 90.00
_cell_angle_gamma 120.00
_space_group_name_H-M_alt 'P -3 m 1'
_space_group_IT_number 164
_space_group_name_Hall '-P 3 2"'
loop_
_atom_site_label
_atom_site_type_symbol
_atom_site_fract_x
_atom_site_fract_y
_atom_site_fract_z
_atom_site_occupancy
Dy1 Dy 0.0000 0.0000 0.0000 1
Dy2 Dy 0.3333 0.6667 0.7289 1
Sn1 Sn 0.0000 0.0000 0.5000 1
P1 P 0.3333 0.6667 0.1596 1
Rh1 Rh 0.0000 0.5000 0.0000 1
Rh2 Rh 0.1495 0.2991 0.2669 1
# ΔE_f   -662 meV per atom
# Size of the total moment   0.00 Bohr magnetons per cell
# E   -6.98 eV/atom
# DOS at the Fermi energy   5.349 states/eV/f.u.

# PBE-GGA Dy3TaP2Rh9, relaxed
data_Dy3TaP2Rh9
_chemical_formula_sum 'Dy3 Ta1 P2 Rh9'
_cell_length_a 5.9070
_cell_length_b 5.9070
_cell_length_c 9.2390
_cell_angle_alpha 90.00
_cell_angle_beta 90.00
_cell_angle_gamma 120.00
_space_group_name_H-M_alt 'P -3 m 1'
_space_group_IT_number 164
_space_group_name_Hall '-P 3 2"'
loop_
_atom_site_label
_atom_site_type_symbol
_atom_site_fract_x
_atom_site_fract_y
_atom_site_fract_z
_atom_site_occupancy
Dy1 Dy 0.0000 0.0000 0.0000 1
Dy2 Dy 0.3333 0.6667 0.6193 1
Ta1 Ta 0.0000 0.0000 0.5000 1
P1 P 0.3333 0.6667 0.1551 1
Rh1 Rh 0.0000 0.5000 0.0000 1
Rh2 Rh 0.1598 0.3196 0.2959 1
# ΔE_f   -596 meV per atom
# Size of the total moment   0.00 Bohr magnetons per cell
# E   -7.44 eV/atom
# DOS at the Fermi energy   6.730 states/eV/f.u.

# PBE-GGA TbDyP2Rh5, relaxed
data_TbDyP2Rh5
_chemical_formula_sum 'Tb1 Dy1 P2 Rh5'
_cell_length_a 4.013
_cell_length_b 4.013
_cell_length_c 10.825
_cell_angle_alpha 90.00
_cell_angle_beta 90.00
_cell_angle_gamma 90.00
_space_group_name_H-M_alt 'P 4/m m m'
_space_group_IT_number 123
_space_group_name_Hall '-P 4 2'
loop_
_atom_site_label
_atom_site_type_symbol
_atom_site_fract_x
_atom_site_fract_y
_atom_site_fract_z
_atom_site_occupancy
Tb1 Tb 0.000 0.000 0.000 1
Dy1 Dy 0.000 0.000 0.500 1
P1 P 0.500 0.500 0.209 1
Rh1 Rh 0.000 0.500 0.304 1
Rh2 Rh 0.500 0.500 0.000 1
# ΔE_f   -743 meV per atom
# Size of the total moment   0.00 Bohr magnetons per cell
# E   -7.06 eV/atom
# DOS at the Fermi energy   4.155 states/eV/f.u.